# 1
VASP calculation (PBE) on a geometry-optimized SrSc2Cr structure.

Cell: 6.3446 6.3446 5.5186 Å, 64.25 64.25 32.22°
Site moments in Bohr magnetons follow the coordinates.
Fractional positions:
Sr1 0.7500 0.7500 0.7500  -0.01
Sc1 0.9590 0.9590 0.0410  -0.23
Sc2 0.5410 0.5410 0.4590  -0.23
Cr1 0.2500 0.2500 0.2500  3.31

Properties
Its space group is Immm, No. 71. The calculation puts the calculated total energy at -0.205 Ha/atom. As for the calculated density: 3.61 g/cm³. For the density of states at the Fermi level, the calculation gives 4.5 states/eV per cell.

---

# 2
VASP calculation (PBE) on a geometry-optimized HfRhNF2 structure.

Cell: 4.2654 4.2654 3.7841 Å, 90.00 90.00 90.00°
Fractional positions:
F1 0.0000 0.5000 0.0000
F2 0.5000 0.0000 0.0000
N1 0.0000 0.0000 0.5000
Hf1 0.5000 0.5000 0.5000
Rh1 0.0000 0.0000 0.0000

Properties
Its space group is P4/mmm, No. 123. The calculation puts the calculated total energy at -0.224 Ha/atom. As for the calculated density: 8.04 g/cm³. For the density of states at the Fermi level, the calculation gives 4.4 states/eV per cell.

---

# 3
VASP calculation (PBE) on a geometry-optimized CsNi2SeS structure.

Cell: 3.9586 7.7862 7.9022 Å, 104.22 90.00 90.00°
Site moments in Bohr magnetons follow the coordinates.
Fractional positions:
Cs1 0.2500 0.0541 0.7532  0.01
Cs2 0.7500 0.9459 0.2468  0.01
Ni1 0.7500 0.5107 0.3883  0.65
Ni2 0.2500 0.5050 0.1461  0.55
Ni3 0.2500 0.4893 0.6117  0.65
Ni4 0.7500 0.4950 0.8539  0.55
Se1 0.2500 0.6666 0.9194  0.12
Se2 0.7500 0.3334 0.0806  0.12
S1 0.2500 0.6621 0.4194  0.12
S2 0.7500 0.3379 0.5806  0.12

Properties
Its space group is P2_1/m, No. 11. The calculation puts the calculated total energy at -0.166 Ha/atom. As for the calculated density: 5.08 g/cm³. For the density of states at the Fermi level, the calculation gives 10.4 states/eV per cell.

---

# 4
VASP calculation (PBE) on a geometry-optimized Tm6Sn2H structure.

Cell: 6.4209 7.5709 9.5459 Å, 90.00 89.82 90.00°
Fractional positions:
Tm1 0.8812 0.6968 0.5433
Tm2 0.3632 0.5207 0.7547
Tm3 0.6160 0.1980 0.5442
Tm4 0.8840 0.6980 0.9558
Tm5 0.1188 0.3032 0.4567
Tm6 0.3840 0.8020 0.4558
Tm7 0.1160 0.3020 0.0442
Tm8 0.1368 0.0207 0.7453
Tm9 0.3812 0.8032 0.0433
Tm10 0.6188 0.1968 0.9567
Tm11 0.8632 0.9793 0.2547
Tm12 0.6368 0.4793 0.2453
Sn1 0.5960 0.8823 0.7497
Sn2 0.4040 0.1177 0.2503
Sn3 0.0960 0.6177 0.2497
Sn4 0.9040 0.3823 0.7503
H1 0.5000 0.5000 0.0000
H2 0.0000 0.0000 0.5000

Properties
Its space group is P2_1/c, No. 14. The calculation puts the calculated total energy at -0.170 Ha/atom. As for the calculated density: 8.96 g/cm³. For the density of states at the Fermi level, the calculation gives 22.4 states/eV per cell.

---

# 5
VASP calculation (PBE) on a geometry-optimized K2SrTlF8 structure.

Cell: 4.0409 6.3665 8.0356 Å, 90.00 89.85 90.20°
Site moments in Bohr magnetons follow the coordinates.
Fractional positions:
K1 0.4999 0.5000 0.2450  0.00
K2 0.5001 0.5000 0.7550  0.00
Tl1 0.0000 0.0000 0.0000  -0.01
F1 0.4988 0.7708 0.5000  0.16
F2 0.9981 0.2119 0.2249  0.11
F3 0.0019 0.7881 0.2249  0.11
F4 0.0019 0.7881 0.7751  0.11
F5 0.9981 0.2119 0.7751  0.11
F6 0.5012 0.2292 0.5000  0.16
F7 0.5025 0.7963 0.0000  0.14
F8 0.4975 0.2037 0.0000  0.14
Sr1 0.0000 0.0000 0.5000  0.00

Properties
Its space group is P-1, No. 2. The calculation puts the calculated total energy at -0.158 Ha/atom. As for the calculated density: 4.19 g/cm³. For the density of states at the Fermi level, the calculation gives 11.3 states/eV per cell.

---

# 6
VASP calculation (PBE) on a geometry-optimized BaAc6La structure.

Cell: 5.6538 5.6538 11.3312 Å, 90.00 90.00 90.00°
Fractional positions:
La1 0.0000 0.0000 0.5000
Ac1 0.5000 0.0000 0.2624
Ac2 0.0000 0.5000 0.7376
Ac3 0.0000 0.5000 0.2624
Ac4 0.5000 0.5000 0.5000
Ac5 0.5000 0.0000 0.7376
Ac6 0.5000 0.5000 0.0000
Ba1 0.0000 0.0000 0.0000

Properties
Its space group is P4/mmm, No. 123. The calculation puts the calculated total energy at -0.143 Ha/atom. As for the calculated density: 7.51 g/cm³. For the density of states at the Fermi level, the calculation gives 14.2 states/eV per cell.

---

# 7
VASP calculation (PBE) on a geometry-optimized Ba2Al3ZnGa4 structure.

Cell: 4.5924 4.5924 10.9104 Å, 90.00 90.00 90.00°
Fractional positions:
Al1 0.0000 0.0000 0.5000
Al2 0.0000 0.5000 0.1289
Al3 0.5000 0.0000 0.8711
Ga1 0.5000 0.0000 0.6283
Ga2 0.0000 0.0000 0.0000
Ga3 0.5000 0.5000 0.0000
Ga4 0.0000 0.5000 0.3717
Ba1 0.5000 0.0000 0.2501
Ba2 0.0000 0.5000 0.7499
Zn1 0.5000 0.5000 0.5000

Properties
Its space group is P-4m2, No. 115. The calculation puts the calculated total energy at -0.118 Ha/atom. As for the calculated density: 5.05 g/cm³. For the density of states at the Fermi level, the calculation gives 2.7 states/eV per cell.

---

# 8
VASP calculation (PBE) on a geometry-optimized La2Al2Cu structure.

Cell: 6.8548 6.8548 5.0984 Å, 90.00 90.00 90.00°
Fractional positions:
Cu1 0.5000 0.5000 0.0000
Cu2 0.0000 0.0000 0.0000
La1 0.3345 0.1655 0.5000
La2 0.8345 0.3345 0.5000
La3 0.6655 0.8345 0.5000
La4 0.1655 0.6655 0.5000
Al1 0.3575 0.8575 0.0000
Al2 0.1425 0.3575 0.0000
Al3 0.6425 0.1425 0.0000
Al4 0.8575 0.6425 0.0000

Properties
Its space group is P4/mbm, No. 127. The calculation puts the calculated total energy at -0.167 Ha/atom. As for the calculated density: 5.48 g/cm³. For the density of states at the Fermi level, the calculation gives 11.3 states/eV per cell.